Here is Te2Br after structural relaxation from the Alexandria database. Energies are from PBE.

Unit cell a=14.4152 b=4.0519 c=9.6658 alpha=90.00 beta=130.37 gamma=90.00
Space group C2/m (No. 12)
One atom of each set of equivalent atoms:
Te 0.0981 0.0000 0.2533 [4 per cell]
Te 0.2439 0.0000 0.7002 [4 per cell]
Br 0.0648 0.5000 0.7701 [4 per cell]

Energy above the most stable polymorph in this dataset: 16 meV/atom
Density of states at the Fermi level: 0.02 states/eV per atom
Uncorrected formation energy: -0.14 eV per atom
Size of the total moment: 0.0 Bohr magnetons per cell
Raw total energy: -2.80 eV per atom